# NbGe2Te6

A geometry-optimized NbGe2Te6 structure (PBE, Alexandria). Values from VASP.

The space group is C2/c. The size of the total moment comes out at 0.00 μB per formula unit. Its formation energy from raw total energies is -60 meV/atom.

Quantum ESPRESSO input file:
```
&SYSTEM
  ibrav = 0, nat = 18, ntyp = 3
/
ATOMIC_SPECIES
Nb 92.91 Nb.upf
Ge 72.64 Ge.upf
Te 127.60 Te.upf
CELL_PARAMETERS angstrom
6.8001 -6.1471 0.0000
6.8001 6.1471 0.0000
-1.3513 0.0000 6.9774
ATOMIC_POSITIONS crystal
Nb 0.1216 0.8784 0.7500
Nb 0.8784 0.1216 0.2500
Ge 0.2265 0.3851 0.6571
Ge 0.3851 0.2265 0.1571
Ge 0.6149 0.7735 0.8429
Ge 0.7735 0.6149 0.3429
Te 0.0252 0.1772 0.6230
Te 0.1072 0.6203 0.8743
Te 0.1772 0.0252 0.1230
Te 0.2860 0.4808 0.3394
Te 0.3797 0.8928 0.6257
Te 0.4808 0.2860 0.8394
Te 0.5192 0.7140 0.1606
Te 0.6203 0.1072 0.3743
Te 0.7140 0.5192 0.6606
Te 0.8228 0.9748 0.8770
Te 0.8928 0.3797 0.1257
Te 0.9748 0.8228 0.3770
```

# CaAg2GeO4

A geometry-optimized CaAg2GeO4 structure (PBE, Alexandria). Values from VASP.

The space group is C2/c. The size of the total moment comes out at 0.00 μB per formula unit. Its formation energy from raw total energies is -1269 meV/atom.

Quantum ESPRESSO input file:
```
&SYSTEM
  ibrav = 0, nat = 16, ntyp = 4
/
ATOMIC_SPECIES
Ca 40.08 Ca.upf
Ag 107.87 Ag.upf
Ge 72.64 Ge.upf
O 16.00 O.upf
CELL_PARAMETERS angstrom
4.2269 -5.1122 0.0000
4.2269 5.1122 0.0000
-3.7679 0.0000 4.9370
ATOMIC_POSITIONS crystal
Ca 0.0000 0.5000 0.0000
Ca 0.5000 0.0000 0.5000
Ag 0.0000 0.0000 0.0000
Ag 0.0000 0.0000 0.5000
Ag 0.0000 0.5000 0.5000
Ag 0.5000 0.0000 0.0000
Ge 0.5000 0.5000 0.0000
Ge 0.5000 0.5000 0.5000
O 0.2916 0.3090 0.0960
O 0.3075 0.6717 0.4841
O 0.3090 0.2916 0.5960
O 0.3283 0.6925 0.0159
O 0.6717 0.3075 0.9841
O 0.6910 0.7084 0.4040
O 0.6925 0.3283 0.5159
O 0.7084 0.6910 0.9040
```

# BaSc2Hg

A geometry-optimized BaSc2Hg structure (PBE, Alexandria). Values from VASP.

The space group is I4_1/amd. The size of the total moment comes out at 0.00 μB per formula unit. For the formation energy, the calculation gives 404 meV per atom.

Quantum ESPRESSO input file:
```
&SYSTEM
  ibrav = 0, nat = 16, ntyp = 3
/
ATOMIC_SPECIES
Ba 137.33 Ba.upf
Sc 44.96 Sc.upf
Hg 200.59 Hg.upf
CELL_PARAMETERS angstrom
5.5735 0.0000 0.0000
0.0000 5.5735 0.0000
0.0000 0.0000 20.1781
ATOMIC_POSITIONS crystal
Ba 0.0000 0.2500 0.3750
Ba 0.0000 0.7500 0.6250
Ba 0.5000 0.2500 0.1250
Ba 0.5000 0.7500 0.8750
Sc 0.0000 0.0000 0.0000
Sc 0.0000 0.5000 0.0000
Sc 0.2500 0.2500 0.7500
Sc 0.2500 0.7500 0.2500
Sc 0.5000 0.0000 0.5000
Sc 0.5000 0.5000 0.5000
Sc 0.7500 0.2500 0.7500
Sc 0.7500 0.7500 0.2500
Hg 0.0000 0.2500 0.8750
Hg 0.0000 0.7500 0.1250
Hg 0.5000 0.2500 0.6250
Hg 0.5000 0.7500 0.3750
```

# GeBiPd

A geometry-optimized GeBiPd structure (PBE, Alexandria). Values from VASP.

The space group is F-43m. The size of the total moment comes out at 0.00 μB per formula unit. Its polymorph energy (0 for the lowest one) is 76 meV/atom. For the formation energy, the calculation gives -142 meV per atom.

Quantum ESPRESSO input file:
```
&SYSTEM
  ibrav = 0, nat = 12, ntyp = 3
/
ATOMIC_SPECIES
Ge 72.64 Ge.upf
Bi 208.98 Bi.upf
Pd 106.42 Pd.upf
CELL_PARAMETERS angstrom
6.5035 0.0000 0.0000
0.0000 6.5035 0.0000
0.0000 0.0000 6.5035
ATOMIC_POSITIONS crystal
Ge 0.0000 0.0000 0.0000
Ge 0.0000 0.5000 0.5000
Ge 0.5000 0.0000 0.5000
Ge 0.5000 0.5000 0.0000
Bi 0.0000 0.0000 0.5000
Bi 0.0000 0.5000 0.0000
Bi 0.5000 0.0000 0.0000
Bi 0.5000 0.5000 0.5000
Pd 0.2500 0.2500 0.7500
Pd 0.2500 0.7500 0.2500
Pd 0.7500 0.2500 0.2500
Pd 0.7500 0.7500 0.7500
```

# La6CoI3Br2

A geometry-optimized La6CoI3Br2 structure (PBE, Alexandria). Values from VASP.

The space group is C2/m. The size of the total moment comes out at 0.00 μB per formula unit. Its formation energy from raw total energies is -989 meV/atom.

Quantum ESPRESSO input file:
```
&SYSTEM
  ibrav = 0, nat = 12, ntyp = 4
/
ATOMIC_SPECIES
La 138.91 La.upf
Co 58.93 Co.upf
I 126.90 I.upf
Br 79.90 Br.upf
CELL_PARAMETERS angstrom
3.7906 -6.5285 0.0000
3.7906 6.5285 0.0000
-2.5179 0.0000 7.7944
ATOMIC_POSITIONS crystal
La 0.0661 0.3683 0.1971
La 0.2347 0.2347 0.7877
La 0.3683 0.0661 0.1971
La 0.6317 0.9339 0.8029
La 0.7653 0.7653 0.2123
La 0.9339 0.6317 0.8029
Co 0.0000 0.0000 0.0000
I 0.1781 0.8219 0.5000
I 0.5000 0.5000 0.5000
I 0.8219 0.1781 0.5000
Br 0.3359 0.6641 0.0000
Br 0.6641 0.3359 0.0000
```

# Li4AgOs

A geometry-optimized Li4AgOs structure (PBE, Alexandria). Values from VASP.

The space group is F-43m. The size of the total moment comes out at 0.48 μB per formula unit. For the formation energy, the calculation gives 382 meV per atom.

Quantum ESPRESSO input file:
```
&SYSTEM
  ibrav = 0, nat = 6, ntyp = 3
/
ATOMIC_SPECIES
Li 6.94 Li.upf
Ag 107.87 Ag.upf
Os 190.23 Os.upf
CELL_PARAMETERS angstrom
0.0000 3.4337 3.4337
3.4337 0.0000 3.4337
3.4337 3.4337 0.0000
ATOMIC_POSITIONS crystal
Li 0.1231 0.1231 0.1231
Li 0.1231 0.1231 0.6306
Li 0.1231 0.6306 0.1231
Li 0.6306 0.1231 0.1231
Ag 0.5000 0.5000 0.5000
Os 0.7500 0.7500 0.7500
```

# Dy8Ga2Ir

A geometry-optimized Dy8Ga2Ir structure (PBE, Alexandria). Values from VASP.

The space group is C2/m. The size of the total moment comes out at 0.00 μB per formula unit. For the formation energy, the calculation gives -397 meV per atom.

Quantum ESPRESSO input file:
```
&SYSTEM
  ibrav = 0, nat = 11, ntyp = 3
/
ATOMIC_SPECIES
Dy 162.50 Dy.upf
Ga 69.72 Ga.upf
Ir 192.22 Ir.upf
CELL_PARAMETERS angstrom
9.2490 -2.4721 0.0000
9.2490 2.4721 0.0000
-1.4410 0.0000 6.3974
ATOMIC_POSITIONS crystal
Dy 0.0254 0.0254 0.2832
Dy 0.2107 0.2107 0.8201
Dy 0.3479 0.3479 0.5217
Dy 0.4108 0.4108 0.0516
Dy 0.5892 0.5892 0.9484
Dy 0.6521 0.6521 0.4783
Dy 0.7893 0.7893 0.1799
Dy 0.9746 0.9746 0.7168
Ga 0.1873 0.1873 0.2554
Ga 0.8127 0.8127 0.7446
Ir 0.5000 0.5000 0.5000
```

# K2RhF4

A geometry-optimized K2RhF4 structure (PBE, Alexandria). Values from VASP.

The space group is C2/m. The size of the total moment comes out at 1.00 μB per formula unit. Its formation energy from raw total energies is -2053 meV/atom.

Quantum ESPRESSO input file:
```
&SYSTEM
  ibrav = 0, nat = 14, ntyp = 3
/
ATOMIC_SPECIES
K 39.10 K.upf
Rh 102.91 Rh.upf
F 19.00 F.upf
CELL_PARAMETERS angstrom
10.9774 0.0000 0.0000
0.0000 3.5649 0.0000
-3.0669 0.0000 5.9113
ATOMIC_POSITIONS crystal
K 0.1629 0.0000 0.1851
K 0.3371 0.5000 0.8149
K 0.6629 0.5000 0.1851
K 0.8371 0.0000 0.8149
Rh 0.0000 0.5000 0.5000
Rh 0.5000 0.0000 0.5000
F 0.0511 0.5000 0.8364
F 0.1409 0.0000 0.5670
F 0.3591 0.5000 0.4330
F 0.4489 0.0000 0.1636
F 0.5511 0.0000 0.8364
F 0.6409 0.5000 0.5670
F 0.8591 0.0000 0.4330
F 0.9489 0.5000 0.1636
```